(1)
Material: La3TbSm3
Method: DFT, PBE
State: relaxed

Calculated values
DFT total energy (eV/atom): -4.566
Relative energy among the computed polymorphs (eV per formula unit): 1.38
N(E_F) (states/eV/atom): 1.601
Space-group type: R-3 (148)
Magnetic moment (μB per cell): 0.00

Cell and atoms, written as POSCAR:
```
La3TbSm3
1.0
-7.4705 -3.4869 3.3497
-3.6356 -7.1861 -3.7855
0.2509 -7.8412 4.2000
Sm La Tb
6 6 2
Direct
0.2736 0.4311 0.9379
0.5689 0.0621 0.7264
0.9379 0.2736 0.4311
0.0621 0.7264 0.5689
0.4311 0.9379 0.2736
0.7264 0.5689 0.0621
0.0600 0.3010 0.8094
0.1906 0.9400 0.6990
0.6990 0.1906 0.9400
0.3010 0.8094 0.0600
0.8094 0.0600 0.3010
0.9400 0.6990 0.1906
0.6472 0.6472 0.6472
0.3528 0.3528 0.3528
```

(2)
Material: La4Tb4Sm3
Method: DFT, PBE
State: relaxed

Calculated values
DFT total energy (eV/atom): -4.639
Relative energy among the computed polymorphs (eV per formula unit): 0.00
N(E_F) (states/eV/atom): 1.411
Space-group type: Immm (71)
Magnetic moment (μB per cell): 0.00

Cell and atoms, written as POSCAR:
```
La4Tb4Sm3
1.0
3.5682 0.0000 -0.6573
-0.8621 8.3141 -4.6801
0.4059 1.4006 12.2178
La Tb Sm
4 4 3
Direct
0.6460 0.4761 0.2919
0.3540 0.5239 0.7081
0.6460 0.8157 0.2919
0.3540 0.1843 0.7081
0.7361 0.2361 0.4722
0.5000 0.8158 0.0000
0.5000 0.1842 0.0000
0.2639 0.7639 0.5278
0.0000 0.5000 0.0000
0.1055 0.1055 0.2110
0.8945 0.8945 0.7890
```

(3)
Material: La7Tb16Sm6
Method: DFT, PBE
State: relaxed

Calculated values
DFT total energy (eV/atom): -4.471
N(E_F) (states/eV/atom): 1.660
Space-group type: Fm-3m (225)
Magnetic moment (μB per cell): 0.00

Cell and atoms, written as POSCAR:
```
La7Tb16Sm6
1.0
9.8570 0.0000 5.6909
3.2857 9.2933 5.6909
0.0000 0.0000 11.3819
Tb La Sm
16 7 6
Direct
0.6512 0.6512 0.6512
0.8691 0.8691 0.3928
0.3488 0.3488 0.3488
0.8691 0.8691 0.8691
0.0463 0.6512 0.6512
0.3928 0.8691 0.8691
0.9537 0.3488 0.3488
0.3488 0.3488 0.9537
0.3488 0.9537 0.3488
0.1309 0.1309 0.6072
0.1309 0.1309 0.1309
0.8691 0.3928 0.8691
0.6072 0.1309 0.1309
0.1309 0.6072 0.1309
0.6512 0.0463 0.6512
0.6512 0.6512 0.0463
0.0000 0.0000 0.0000
0.0000 0.5000 0.5000
0.5000 0.0000 0.0000
0.0000 0.0000 0.5000
0.5000 0.0000 0.5000
0.0000 0.5000 0.0000
0.5000 0.5000 0.0000
0.7479 0.7479 0.2521
0.2521 0.7479 0.2521
0.7479 0.2521 0.2521
0.7479 0.2521 0.7479
0.2521 0.2521 0.7479
0.2521 0.7479 0.7479
```

(4)
Material: La6Tb3Sm
Method: DFT, PBE
State: relaxed

Calculated values
DFT total energy (eV/atom): -4.696
N(E_F) (states/eV/atom): 1.434
Space-group type: Cmc2_1 (36)
Magnetic moment (μB per cell): 0.00

Cell and atoms, written as POSCAR:
```
La6Tb3Sm
1.0
6.5482 0.0000 0.0000
0.0000 11.0677 -1.8400
0.0000 -4.2634 10.3780
Tb La Sm
6 12 2
Direct
0.9656 0.0549 0.2923
0.4656 0.2923 0.0549
0.4656 0.9451 0.7077
0.5902 0.6155 0.3845
0.9656 0.7077 0.9451
0.0902 0.3845 0.6155
0.8702 0.9305 0.5146
0.0517 0.7122 0.6339
0.6630 0.2851 0.7149
0.8599 0.0309 0.9691
0.3599 0.9691 0.0309
0.5517 0.6339 0.7122
0.8702 0.4854 0.0695
0.1630 0.7149 0.2851
0.0517 0.3661 0.2878
0.3702 0.0695 0.4854
0.5517 0.2878 0.3661
0.3702 0.5146 0.9305
0.0971 0.1875 0.8125
0.5971 0.8125 0.1875
```

(5)
Material: La3Tb4Sm2
Method: DFT, PBE
State: relaxed

Calculated values
DFT total energy (eV/atom): -4.654
Relative energy among the computed polymorphs (eV per formula unit): 0.60
N(E_F) (states/eV/atom): 1.613
Space-group type: C2/c (15)
Magnetic moment (μB per cell): 0.00

Cell and atoms, written as POSCAR:
```
La3Tb4Sm2
1.0
0.4054 4.5428 4.2102
3.3624 -3.0124 10.4381
10.4774 3.1427 3.1116
Sm Tb La
4 8 6
Direct
0.5745 0.7389 0.4855
0.0745 0.4855 0.7389
0.9255 0.5145 0.2611
0.4255 0.2611 0.5145
0.0837 0.1533 0.3980
0.9163 0.8467 0.6020
0.5770 0.0660 0.8226
0.4230 0.9340 0.1774
0.0770 0.8226 0.0660
0.5837 0.3980 0.1533
0.9230 0.1774 0.9340
0.4163 0.6020 0.8467
0.7500 0.3736 0.6264
0.7551 0.0337 0.2972
0.2551 0.2972 0.0337
0.2449 0.9663 0.7028
0.7449 0.7028 0.9663
0.2500 0.6264 0.3736
```

(6)
Material: La5Tb3Sm
Method: DFT, PBE
State: relaxed

Calculated values
DFT total energy (eV/atom): -4.530
Relative energy among the computed polymorphs (eV per formula unit): 0.27
N(E_F) (states/eV/atom): 1.936
Space-group type: I4/mcm (140)
Magnetic moment (μB per cell): 0.00

Cell and atoms, written as POSCAR:
```
La5Tb3Sm
1.0
-1.6445 -2.7111 -8.2485
4.5519 -7.4182 1.5307
-8.2837 1.4030 5.9241
Sm La Tb
2 10 6
Direct
0.7500 0.2500 0.5000
0.2500 0.7500 0.5000
0.5596 0.6600 0.7196
0.0596 0.5596 0.7196
0.4404 0.3400 0.2804
0.0000 0.0000 0.0000
0.8400 0.9404 0.2804
0.3400 0.8400 0.2804
0.9404 0.4404 0.2804
0.5000 0.5000 0.0000
0.1600 0.0596 0.7196
0.6600 0.1600 0.7196
0.1196 0.3804 0.0000
0.2500 0.2500 0.5000
0.6196 0.1196 0.0000
0.3804 0.8804 0.0000
0.7500 0.7500 0.5000
0.8804 0.6196 0.0000
```

| no. | energy of formation from the pure elements (eV/atom) |
| --- | --- |
| 1 | 0.230 |
| 2 | 0.123 |
| 3 | 0.250 |
| 4 | 0.121 |
| 5 | 0.095 |
| 6 | 0.275 |